(1)
The following is a PBE-GGA calculation of an optimized crystal structure of CaBeS3, from the Alexandria database.

Lattice parameters (Å, degrees): 4.4610 4.4610 4.4610 90.00 90.00 90.00
Last column: nearest neighbours and their distance in Å.
Space group Pm-3m (No. 221)
Unique sites:
Ca 0.0000 0.0000 0.0000 x1  12 S 3.15
Be 0.5000 0.5000 0.5000 x1  6 S 2.23
S 0.0000 0.5000 0.5000 x3  2 Be 2.23

energy relative to the elements, uncorrected: -0.64 eV per atom
size of the total moment: 0.0 μB per cell

---

(2)
The following is a PBE-GGA calculation of an optimized crystal structure of CaBe3S, from the Alexandria database.

Lattice parameters (Å, degrees): 4.3403 4.3403 4.3403 90.00 90.00 90.00
Last column: nearest neighbours and their distance in Å.
Space group Pm-3m (No. 221)
Unique sites:
Ca 0.0000 0.0000 0.0000 x1  12 Be 3.07
Be 0.0000 0.5000 0.5000 x3  2 S 2.17
S 0.5000 0.5000 0.5000 x1  6 Be 2.17

energy relative to the elements, uncorrected: 0.62 eV per atom
size of the total moment: 0.0 μB per cell

---

(3)
The following is a PBE-GGA calculation of an optimized crystal structure of Ca3BeS, from the Alexandria database.

Lattice parameters (Å, degrees): 5.3381 5.3381 5.3381 90.00 90.00 90.00
Last column: nearest neighbours and their distance in Å.
Space group Pm-3m (No. 221)
Unique sites:
Ca 0.0000 0.0000 0.5000 x3  2 S 2.67
Be 0.5000 0.5000 0.5000 x1  12 Ca 3.77
S 0.0000 0.0000 0.0000 x1  6 Ca 2.67

energy relative to the elements, uncorrected: -0.38 eV per atom
size of the total moment: 0.0 μB per cell

---

(4)
The following is a PBE-GGA calculation of an optimized crystal structure of CaScBe2S, from the Alexandria database.

Lattice parameters (Å, degrees): 4.8528 4.8528 4.8996 90.00 90.00 90.00
Last column: nearest neighbours and their distance in Å.
Space group P4/mmm (No. 123)
Unique sites:
Ca 0.0000 0.0000 0.0000 x1  4 Be 2.43, 2 S 2.45
Sc 0.5000 0.5000 0.5000 x1  4 S 3.43, 8 Be 3.45
Be 0.0000 0.5000 0.0000 x2  2 Ca 2.43
S 0.0000 0.0000 0.5000 x1  2 Ca 2.45

energy relative to the elements, uncorrected: 0.93 eV per atom
size of the total moment: 0.0 μB per cell

---

> Number 1 is which compound?

CaBeS3